Record 1
A plane-wave DFT calculation with PBE was carried out for a geometry-optimized TiV3H structure.

Cell lengths 4.4595, 4.4595, 4.4595 Å; angles 90.00, 90.00, 90.00 degrees
Closest atoms and distances in Å follow each position.
Fractional positions:
Ti (0.0000, 0.0000, 0.0000)  6 V 2.23
V (0.0000, 0.0000, 0.5000)  2 Ti 2.23
V (0.0000, 0.5000, 0.0000)  2 Ti 2.23
V (0.5000, 0.0000, 0.0000)  2 Ti 2.23
H (0.5000, 0.5000, 0.5000)  12 V 3.15

Calculated values
SG: Pm-3m

Record 2
A plane-wave DFT calculation with PBE was carried out for a geometry-optimized Ti3VH structure.

Cell lengths 4.5613, 4.5613, 4.5613 Å; angles 90.00, 90.00, 90.00 degrees
Closest atoms and distances in Å follow each position.
Fractional positions:
Ti (0.0000, 0.0000, 0.5000)  2 V 2.28
Ti (0.0000, 0.5000, 0.0000)  2 V 2.28
Ti (0.5000, 0.0000, 0.0000)  2 V 2.28
V (0.0000, 0.0000, 0.0000)  6 Ti 2.28
H (0.5000, 0.5000, 0.5000)  12 Ti 3.23

Calculated values
SG: Pm-3m

Record 3
A plane-wave DFT calculation with PBE was carried out for a geometry-optimized Ti2VH6 structure.

Cell lengths 5.3065, 5.3065, 3.1004 Å; angles 106.84, 106.84, 47.56 degrees
Closest atoms and distances in Å follow each position.
Fractional positions:
Ti (0.1640, 0.1640, 0.1640)  8 H 1.89-1.90
Ti (0.8360, 0.8360, 0.8360)  8 H 1.89-1.90
V (0.5000, 0.5000, 0.5000)  8 H 1.83-1.85
H (0.0926, 0.5807, 0.3368)  1 V 1.83, 3 Ti 1.90
H (0.2651, 0.7349, 0.0000)  2 V 1.85, 2 Ti 1.89, 1 H 2.01
H (0.4193, 0.9074, 0.6632)  1 V 1.83, 3 Ti 1.90
H (0.5807, 0.0926, 0.3368)  1 V 1.83, 3 Ti 1.90
H (0.7349, 0.2651, 0.0000)  2 V 1.85, 2 Ti 1.89, 1 H 2.01
H (0.9074, 0.4193, 0.6632)  1 V 1.83, 3 Ti 1.90

Calculated values
SG: C2/m

Record 4
A plane-wave DFT calculation with PBE was carried out for a geometry-optimized TiV3H structure.

Cell lengths 3.9214, 3.9214, 3.9214 Å; angles 90.00, 90.00, 90.00 degrees
Closest atoms and distances in Å follow each position.
Fractional positions:
Ti (0.0000, 0.0000, 0.0000)  12 V 2.77
V (0.0000, 0.5000, 0.5000)  2 H 1.96
V (0.5000, 0.0000, 0.5000)  2 H 1.96
V (0.5000, 0.5000, 0.0000)  2 H 1.96
H (0.5000, 0.5000, 0.5000)  6 V 1.96

Calculated values
SG: Pm-3m

Record 5
A plane-wave DFT calculation with PBE was carried out for a geometry-optimized Ti2VH3 structure.

Cell lengths 5.0284, 5.0284, 5.4917 Å; angles 110.63, 110.63, 55.05 degrees
Closest atoms and distances in Å follow each position.
Fractional positions:
Ti (0.1586, 0.1769, 0.0814)  5 H 1.90-2.10
Ti (0.1769, 0.1586, 0.5814)  5 H 1.90-2.10
Ti (0.8231, 0.8414, 0.4186)  5 H 1.90-2.10
Ti (0.8414, 0.8231, 0.9186)  5 H 1.90-2.10
V (0.4949, 0.5051, 0.7500)  5 H 1.83-1.98
V (0.5051, 0.4949, 0.2500)  5 H 1.83-1.98
H (0.0959, 0.9041, 0.7500)  1 V 1.85, 2 Ti 1.90
H (0.2838, 0.4020, 0.9188)  2 V 1.83-1.98, 2 Ti 1.92-2.01
H (0.4020, 0.2838, 0.4188)  2 V 1.83-1.98, 2 Ti 1.92-2.01
H (0.5980, 0.7162, 0.5812)  2 V 1.83-1.98, 2 Ti 1.92-2.01
H (0.7162, 0.5980, 0.0812)  2 V 1.83-1.98, 2 Ti 1.92-2.01
H (0.9041, 0.0959, 0.2500)  1 V 1.85, 2 Ti 1.90

Calculated values
SG: C2/c

Record 6
A plane-wave DFT calculation with PBE was carried out for a geometry-optimized Ti2VHW structure.

Cell lengths 3.7829, 3.7829, 4.5301 Å; angles 90.00, 90.00, 90.00 degrees
Closest atoms and distances in Å follow each position.
Fractional positions:
Ti (0.0000, 0.5000, 0.0000)  2 H 1.89
Ti (0.5000, 0.0000, 0.0000)  2 H 1.89
V (0.0000, 0.0000, 0.5000)  2 H 2.27
H (0.0000, 0.0000, 0.0000)  4 Ti 1.89
W (0.5000, 0.5000, 0.5000)  4 V 2.67, 8 Ti 2.95

Calculated values
SG: P4/mmm

Record 7
A plane-wave DFT calculation with PBE was carried out for a geometry-optimized Zr2TiVH structure.

Cell lengths 4.6964, 4.6964, 3.6078 Å; angles 90.00, 90.00, 90.00 degrees
Closest atoms and distances in Å follow each position.
Fractional positions:
Zr (0.0000, 0.5000, 0.0000)  2 H 2.35
Zr (0.5000, 0.0000, 0.0000)  2 H 2.35
Ti (0.0000, 0.0000, 0.5000)  8 Zr 2.96
V (0.5000, 0.5000, 0.5000)  2 H 1.80
H (0.5000, 0.5000, 0.0000)  2 V 1.80

Calculated values
SG: P4/mmm

Record 8
A plane-wave DFT calculation with PBE was carried out for a geometry-optimized Zr2TiVH structure.

Cell lengths 4.6468, 4.6468, 3.7247 Å; angles 90.00, 90.00, 90.00 degrees
Closest atoms and distances in Å follow each position.
Fractional positions:
Zr (0.0000, 0.5000, 0.0000)  2 H 2.32
Zr (0.5000, 0.0000, 0.0000)  2 H 2.32
Ti (0.0000, 0.0000, 0.5000)  2 H 1.86
V (0.5000, 0.5000, 0.5000)  8 Zr 2.98, 4 Ti 3.29
H (0.0000, 0.0000, 0.0000)  2 Ti 1.86

Calculated values
SG: P4/mmm

Record 9
A plane-wave DFT calculation with PBE was carried out for a geometry-optimized TiHW2 structure.

Cell lengths 5.4912, 5.4912, 5.4912 Å; angles 119.90, 119.90, 90.18 degrees
Closest atoms and distances in Å follow each position.
Fractional positions:
Ti (0.3750, 0.6250, 0.7500)  12 W 3.22, 4 H 3.36, 4 Ti 3.36
Ti (0.6250, 0.3750, 0.2500)  12 W 3.22, 4 H 3.36, 4 Ti 3.36
H (0.1250, 0.8750, 0.2500)  4 W 1.68
H (0.8750, 0.1250, 0.7500)  4 W 1.68
W (0.0000, 0.0000, 0.0000)  2 H 1.68
W (0.0000, 0.0000, 0.5000)  2 H 1.68
W (0.0000, 0.5000, 0.0000)  2 H 1.68
W (0.5000, 0.0000, 0.5000)  2 H 1.68

Calculated values
SG: I4_1/amd

Record 10
A plane-wave DFT calculation with PBE was carried out for a geometry-optimized TiHW3 structure.

Cell lengths 4.5785, 4.5785, 4.5785 Å; angles 90.00, 90.00, 90.00 degrees
Closest atoms and distances in Å follow each position.
Fractional positions:
Ti (0.0000, 0.0000, 0.0000)  6 W 2.29
H (0.5000, 0.5000, 0.5000)  12 W 3.24
W (0.0000, 0.0000, 0.5000)  2 Ti 2.29
W (0.0000, 0.5000, 0.0000)  2 Ti 2.29
W (0.5000, 0.0000, 0.0000)  2 Ti 2.29

Calculated values
SG: Pm-3m

Record 11
A plane-wave DFT calculation with PBE was carried out for a geometry-optimized Ti5H12W2 structure.

Cell lengths 5.5956, 5.5956, 6.1317 Å; angles 102.58, 102.58, 56.30 degrees
Closest atoms and distances in Å follow each position.
Fractional positions:
Ti (0.0000, 0.0000, 0.0000)  6 H 1.94-2.02
Ti (0.2878, 0.2878, 0.6717)  7 H 1.86-2.02
Ti (0.3164, 0.3164, 0.1330)  7 H 1.93-1.99
Ti (0.6836, 0.6836, 0.8670)  7 H 1.93-1.99
Ti (0.7122, 0.7122, 0.3283)  7 H 1.86-2.02
H (0.0596, 0.0596, 0.3266)  2 W 1.86, 1 Ti 1.94
H (0.0887, 0.5911, 0.9155)  4 Ti 1.94-2.02, 1 H 2.15
H (0.1131, 0.5086, 0.4005)  1 W 1.84, 3 Ti 1.86-2.02, 1 H 1.99
H (0.4089, 0.9113, 0.0845)  4 Ti 1.94-2.02, 1 H 2.15
H (0.4873, 0.4873, 0.7163)  2 W 1.92, 2 Ti 1.92-1.93
H (0.4914, 0.8869, 0.5995)  1 W 1.84, 3 Ti 1.86-2.02, 1 H 1.99
H (0.5086, 0.1131, 0.4005)  1 W 1.84, 3 Ti 1.86-2.02, 1 H 1.99
H (0.5127, 0.5127, 0.2837)  2 W 1.92, 2 Ti 1.92-1.93
H (0.5911, 0.0887, 0.9155)  4 Ti 1.94-2.02, 1 H 2.15
H (0.8869, 0.4914, 0.5995)  1 W 1.84, 3 Ti 1.86-2.02, 1 H 1.99
H (0.9113, 0.4089, 0.0845)  4 Ti 1.94-2.02, 1 H 2.15
H (0.9404, 0.9404, 0.6734)  2 W 1.86, 1 Ti 1.94
W (0.2441, 0.7559, 0.5000)  6 H 1.84-1.92
W (0.7559, 0.2441, 0.5000)  6 H 1.84-1.92

Calculated values
SG: C2/m

Record 12
A plane-wave DFT calculation with PBE was carried out for a geometry-optimized TiH2W structure.

Cell lengths 4.7381, 4.7381, 4.7381 Å; angles 120.65, 120.65, 88.88 degrees
Closest atoms and distances in Å follow each position.
Fractional positions:
Ti (0.0000, 0.0000, 0.0000)  4 H 1.87
Ti (0.7500, 0.2500, 0.5000)  4 H 1.87
H (0.1262, 0.6250, 0.0012)  2 W 1.86, 2 Ti 1.87
H (0.3750, 0.3762, 0.5012)  2 W 1.86, 2 Ti 1.87
H (0.6238, 0.1250, 0.9988)  2 W 1.86, 2 Ti 1.87
H (0.8750, 0.8738, 0.4988)  2 W 1.86, 2 Ti 1.87
W (0.2500, 0.7500, 0.5000)  4 H 1.86
W (0.5000, 0.5000, 0.0000)  4 H 1.86

Calculated values
SG: I-42d

E_tot across the listed records, respectively: -5.7727; -5.9054; -5.4132; -7.6399; -6.1166; -8.2203; -7.5015; -7.4930; -8.8232; -7.3024; -5.7385; -7.0121 eV/atom.
Total magnetic moment across the listed records, respectively: 3.48; 1.67; 0.00; 0.00; 0.00; 0.18; 0.12; 1.30; 0.00; 0.00; 0.00; 0.00 μB per formula unit.